Record 1
Density functional theory data (PBE-GGA) for a relaxed structure of Sr2Ga3Ag4Sn.

As for the density of states at the Fermi level: 4.23 states/eV per cell. The magnetization is 0.0 μB per cell. The value obtained for the calculated total energy is -3.096 eV per atom. The energy of formation is -0.311 eV per atom.

a b c (Å): 4.5650 4.5650 11.2185
angles (deg): 90.00 90.00 90.00
With the nearest neighbours (Å) after each atom.
Element x y z (fractional)
Sr  0.5000  0.0000  0.2419  8 Ag 3.46-3.55, 6 Ga 3.50-3.69, 2 Sn 3.69
Sr  0.0000  0.5000  0.7581  8 Ag 3.46-3.55, 6 Ga 3.50-3.69, 2 Sn 3.69
Ga  0.0000  0.0000  0.5000  4 Ag 2.81
Ga  0.5000  0.0000  0.8792  5 Ag 2.61-2.65
Ga  0.0000  0.5000  0.1208  5 Ag 2.61-2.65
Ag  0.5000  0.5000  0.0000  4 Ga 2.65
Ag  0.0000  0.0000  0.0000  4 Ga 2.65
Ag  0.5000  0.0000  0.6468  3 Ga 2.61-2.81, 2 Sn 2.81
Ag  0.0000  0.5000  0.3532  3 Ga 2.61-2.81, 2 Sn 2.81
Sn  0.5000  0.5000  0.5000  4 Ag 2.81

---

Record 2
Density functional theory data (PBE-GGA) for a relaxed structure of LaHfAl4.

As for the density of states at the Fermi level: 3.24 states/eV per cell. The magnetization is 0.0 μB per cell. The value obtained for the calculated total energy is -5.331 eV per atom. The energy of formation is -0.356 eV per atom.

a b c (Å): 5.5367 5.5367 5.5367
angles (deg): 60.00 60.00 60.00
With the nearest neighbours (Å) after each atom.
Element x y z (fractional)
Hf  0.0000  0.0000  0.0000  12 Al 3.25, 4 La 3.39
Al  0.6255  0.6255  0.1235  6 Al 2.76-2.78
Al  0.6255  0.1235  0.6255  6 Al 2.76-2.78
Al  0.6255  0.6255  0.6255  6 Al 2.76-2.78
Al  0.1235  0.6255  0.6255  6 Al 2.76-2.78
La  0.2500  0.2500  0.2500  12 Al 3.25, 4 Hf 3.39

---

Record 3
Density functional theory data (PBE-GGA) for a relaxed structure of DyGe2Ru2.

As for the density of states at the Fermi level: 2.36 states/eV per cell. The magnetization is 0.0 μB per cell. The value obtained for the calculated total energy is -7.131 eV per atom. The energy of formation is -0.653 eV per atom.

a b c (Å): 5.7838 5.7838 5.7838
angles (deg): 136.75 136.75 62.83
With the nearest neighbours (Å) after each atom.
Element x y z (fractional)
Dy  0.0000  0.0000  0.0000  8 Ru 3.26, 8 Ge 3.28
Ge  0.6298  0.6298  0.0000  4 Ru 2.44, 1 Ge 2.56
Ge  0.3702  0.3702  0.0000  4 Ru 2.44, 1 Ge 2.56
Ru  0.2500  0.7500  0.5000  4 Ge 2.44
Ru  0.7500  0.2500  0.5000  4 Ge 2.44

---

Record 4
Density functional theory data (PBE-GGA) for a relaxed structure of Tm2Ga2SnRh5.

As for the density of states at the Fermi level: 5.36 states/eV per cell. The magnetization is 0.0 μB per cell. The value obtained for the calculated total energy is -6.430 eV per atom. The energy of formation is -0.855 eV per atom.

a b c (Å): 3.5972 9.7507 9.7507
angles (deg): 90.00 90.00 90.00
With the nearest neighbours (Å) after each atom.
Element x y z (fractional)
Tm  0.0000  0.6736  0.1736  3 Ga 2.80-2.94, 6 Rh 2.99-3.10
Tm  0.0000  0.3264  0.8264  3 Ga 2.80-2.94, 6 Rh 2.99-3.10
Tm  0.0000  0.1736  0.3264  3 Ga 2.80-2.94, 6 Rh 2.99-3.10
Tm  0.0000  0.8264  0.6736  3 Ga 2.80-2.94, 6 Rh 2.99-3.10
Ga  0.0000  0.1236  0.6236  6 Rh 2.48-2.50
Ga  0.0000  0.8764  0.3764  6 Rh 2.48-2.50
Ga  0.0000  0.6236  0.8764  6 Rh 2.48-2.50
Ga  0.0000  0.3764  0.1236  6 Rh 2.48-2.50
Sn  0.0000  0.0000  0.0000  8 Rh 2.79
Sn  0.0000  0.5000  0.5000  8 Rh 2.79
Rh  0.5000  0.2067  0.0701  2 Ga 2.50, 2 Sn 2.79
Rh  0.5000  0.7933  0.9299  2 Ga 2.50, 2 Sn 2.79
Rh  0.5000  0.0701  0.7933  2 Ga 2.50, 2 Sn 2.79
Rh  0.5000  0.7067  0.4299  2 Ga 2.50, 2 Sn 2.79
Rh  0.5000  0.9299  0.2067  2 Ga 2.50, 2 Sn 2.79
Rh  0.5000  0.2933  0.5701  2 Ga 2.50, 2 Sn 2.79
Rh  0.5000  0.5701  0.7067  2 Ga 2.50, 2 Sn 2.79
Rh  0.5000  0.4299  0.2933  2 Ga 2.50, 2 Sn 2.79
Rh  0.5000  0.5000  0.0000  4 Ga 2.48
Rh  0.5000  0.0000  0.5000  4 Ga 2.48

---

Record 5
Density functional theory data (PBE-GGA) for a relaxed structure of Sm4Tl2Hg.

As for the relative energy among the computed polymorphs: 68 meV/atom. As for the density of states at the Fermi level: 13.95 states/eV per cell. The magnetization is 0.0 μB per cell. The value obtained for the calculated total energy is -3.616 eV per atom. The energy of formation is -0.200 eV per atom.

a b c (Å): 7.3763 6.8014 9.5671
angles (deg): 90.00 114.76 90.00
With the nearest neighbours (Å) after each atom.
Element x y z (fractional)
Sm  0.5554  0.4919  0.2284  1 Hg 3.04, 4 Tl 3.20-3.37, 1 Sm 3.29
Sm  0.0193  0.7500  0.8432  1 Hg 3.12, 2 Tl 3.20-3.31
Sm  0.9807  0.2500  0.1568  1 Hg 3.12, 2 Tl 3.20-3.31
Sm  0.5554  0.0081  0.2284  1 Hg 3.04, 4 Tl 3.20-3.37, 1 Sm 3.29
Sm  0.9680  0.2500  0.5553  1 Hg 3.09, 1 Tl 3.36
Sm  0.4446  0.9919  0.7716  1 Hg 3.04, 4 Tl 3.20-3.37, 1 Sm 3.29
Sm  0.4446  0.5081  0.7716  1 Hg 3.04, 4 Tl 3.20-3.37, 1 Sm 3.29
Sm  0.0320  0.7500  0.4447  1 Hg 3.09, 1 Tl 3.36
Tl  0.7678  0.7500  0.0602  1 Hg 2.94, 4 Sm 3.20-3.24
Tl  0.2322  0.2500  0.9398  1 Hg 2.94, 4 Sm 3.20-3.24
Tl  0.3916  0.2500  0.4607  5 Sm 3.20-3.37, 1 Hg 3.34
Tl  0.6084  0.7500  0.5393  5 Sm 3.20-3.37, 1 Hg 3.34
Hg  0.2072  0.7500  0.2028  1 Tl 2.94, 4 Sm 3.04-3.12
Hg  0.7928  0.2500  0.7972  1 Tl 2.94, 4 Sm 3.04-3.12

---

Record 6
Density functional theory data (PBE-GGA) for a relaxed structure of Rb2ScMo.

As for the relative energy among the computed polymorphs: 0 meV/atom. As for the density of states at the Fermi level: 6.63 states/eV per cell. The magnetization is 4.4 μB per cell. The value obtained for the calculated total energy is -3.466 eV per atom. The energy of formation is 1.309 eV per atom.

a b c (Å): 13.4129 13.4129 9.7911
angles (deg): 46.77 46.77 90.00
With the nearest neighbours (Å) after each atom.
Element x y z (fractional)
Sc  0.5000  0.5000  0.0000  2 Mo 2.43
Sc  0.2500  0.7500  0.5000  2 Mo 2.43
Mo  0.0000  0.0000  0.0000  2 Sc 2.43
Mo  0.7500  0.2500  0.5000  2 Sc 2.43
Rb  0.7820  0.1250  0.2500  2 Mo 3.63, 2 Sc 4.02
Rb  0.9680  0.6250  0.2500  2 Mo 3.63, 2 Sc 4.02
Rb  0.3750  0.2180  0.7500  2 Mo 3.63, 2 Sc 4.02
Rb  0.8750  0.0320  0.7500  2 Mo 3.63, 2 Sc 4.02

---

Record 7
Density functional theory data (PBE-GGA) for a relaxed structure of CaSiNi2.

As for the density of states at the Fermi level: 2.38 states/eV per cell. The magnetization is 0.0 μB per cell. The value obtained for the calculated total energy is -4.825 eV per atom.

a b c (Å): 5.3622 5.3622 5.3622
angles (deg): 147.82 131.93 59.03
With the nearest neighbours (Å) after each atom.
Element x y z (fractional)
Ca  0.2607  0.7607  0.5000  4 Ni 2.66, 2 Si 2.96, 2 Ca 2.97
Ni  0.9782  0.9782  0.0000  4 Si 2.70, 4 Ni 2.79-2.97, 2 Ca 2.98
Ni  0.7256  0.2256  0.5000  2 Si 2.31
Si  0.5355  0.5355  0.0000  2 Ni 2.31

---

Record 8
Density functional theory data (PBE-GGA) for a relaxed structure of ScCdNi.

As for the density of states at the Fermi level: 2.05 states/eV per cell. The magnetization is 0.0 μB per cell. The value obtained for the calculated total energy is -4.513 eV per atom. The energy of formation is -0.170 eV per atom.

a b c (Å): 4.3916 4.3916 4.3916
angles (deg): 60.00 60.00 60.00
With the nearest neighbours (Å) after each atom.
Element x y z (fractional)
Cd  0.5000  0.5000  0.5000  4 Ni 2.69
Ni  0.7500  0.7500  0.7500  4 Cd 2.69, 4 Sc 2.69
Sc  0.0000  0.0000  0.0000  4 Ni 2.69

---

Record 9
Density functional theory data (PBE-GGA) for a relaxed structure of AlCuSb.

As for the relative energy among the computed polymorphs: 33 meV/atom. As for the density of states at the Fermi level: 3.28 states/eV per cell. The magnetization is 0.0 μB per cell. The value obtained for the calculated total energy is -3.949 eV per atom.

a b c (Å): 5.2124 3.9305 11.8090
angles (deg): 90.00 110.58 90.00
With the nearest neighbours (Å) after each atom.
Element x y z (fractional)
Sb  0.8948  0.0000  0.6286  4 Cu 2.63-2.78
Sb  0.8948  0.5000  0.1286  4 Cu 2.63-2.78
Sb  0.4854  0.0000  0.2549  4 Al 2.79-3.05, 2 Cu 2.80
Sb  0.4854  0.5000  0.7549  4 Al 2.79-3.05, 2 Cu 2.80
Al  0.0572  0.0000  0.3538  3 Cu 2.53-2.59, 1 Sb 2.79
Al  0.0572  0.5000  0.8538  3 Cu 2.53-2.59, 1 Sb 2.79
Al  0.4974  0.0000  0.9546  4 Cu 2.63-2.67, 2 Al 2.94
Al  0.4974  0.5000  0.4546  4 Cu 2.63-2.67, 2 Al 2.94
Cu  0.0259  0.0000  0.9915  2 Cu 2.58, 4 Al 2.59-2.64, 2 Sb 2.78
Cu  0.0259  0.5000  0.4915  2 Cu 2.58, 4 Al 2.59-2.64, 2 Sb 2.78
Cu  0.3597  0.0000  0.5752  3 Al 2.53-2.67, 2 Cu 2.58, 4 Sb 2.63-2.80
Cu  0.3597  0.5000  0.0752  3 Al 2.53-2.67, 2 Cu 2.58, 4 Sb 2.63-2.80

---

Record 10
Density functional theory data (PBE-GGA) for a relaxed structure of LaZn2MoP.

As for the density of states at the Fermi level: 4.42 states/eV per cell. The magnetization is 3.1 μB per cell. The value obtained for the calculated total energy is -4.138 eV per atom. The energy of formation is 0.605 eV per atom.

a b c (Å): 4.6074 5.5634 4.6074
angles (deg): 90.00 90.00 90.00
With the nearest neighbours (Å) after each atom.
Element x y z (fractional)
P  0.0000  0.0000  0.0000  4 Zn 2.30
Mo  0.5000  0.5000  0.5000  4 La 3.26, 8 Zn 3.61
Zn  0.0000  0.0000  0.5000  2 P 2.30
Zn  0.5000  0.0000  0.0000  2 P 2.30
La  0.0000  0.5000  0.0000  2 P 2.78